# MgCoAs2O7

MgCoAs2O7 after structural relaxation (PBE with a Hubbard U, Alexandria).

The raw total energy is -6.1187 eV per atom.

The space group is P2_1/c (No. 14) and the conventional cell measures 7.294, 8.648 and 9.719 Å, with angles of 90.00, 114.42 and 90.00 degrees. Symmetry generates all atoms from Mg at (0.231, 0.071, 0.112), Co at (0.310, 0.057, 0.676), As at (0.049, 0.736, 0.733), As at (0.478, 0.728, 0.037), O at (0.019, 0.593, 0.605), O at (0.105, 0.591, 0.183), O at (0.149, 0.244, 0.715), O at (0.242, 0.663, 0.904), O at (0.363, 0.239, 0.552), O at (0.451, 0.599, 0.612) and O at (0.476, 0.079, 0.337).